Density functional theory data (GGA-PBE) for a geometry-optimized ZnCuAgGe structure.

a b c (Å): 4.4904 4.4904 4.4904
angles (deg): 60.00 60.00 60.00
Closest atoms and distances in Å follow each position.
Sites, in units of the cell vectors:
1 Zn 0.2500 0.2500 0.2500  4 Ge 2.75, 4 Ag 2.75
2 Ag 0.5000 0.5000 0.5000  4 Cu 2.75, 4 Zn 2.75
3 Ge 0.0000 0.0000 0.0000  4 Cu 2.75, 4 Zn 2.75
4 Cu 0.7500 0.7500 0.7500  4 Ag 2.75, 4 Ge 2.75

Output
DFT formation energy: 171 meV per atom
Space group: F-43m

Density functional theory data (GGA-PBE) for a geometry-optimized AcSm2Ga2Hg2 structure.

a b c (Å): 4.7207 4.7207 10.3510
angles (deg): 76.82 76.82 60.00
Closest atoms and distances in Å follow each position.
Sites, in units of the cell vectors:
1 Ac 0.0000 0.0000 0.0000  6 Hg 3.43, 6 Ga 3.78
2 Hg 0.5970 0.5970 0.2089  3 Ga 2.78
3 Hg 0.4030 0.4030 0.7911  3 Ga 2.78
4 Ga 0.7540 0.7540 0.7381  3 Hg 2.78, 3 Sm 3.02
5 Ga 0.2460 0.2460 0.2619  3 Hg 2.78, 3 Sm 3.02
6 Sm 0.1307 0.1307 0.6079  3 Ga 3.02, 3 Hg 3.28
7 Sm 0.8693 0.8693 0.3921  3 Ga 3.02, 3 Hg 3.28

Output
DFT formation energy: -401 meV per atom
Space group: R-3m

Density functional theory data (GGA-PBE) for a geometry-optimized FeMo2As structure.

a b c (Å): 4.0190 2.9402 5.0737
angles (deg): 73.13 90.00 90.00
Closest atoms and distances in Å follow each position.
Sites, in units of the cell vectors:
1 Fe 0.5000 0.5556 0.7621  2 As 2.39, 1 Mo 2.50
2 Mo 0.0000 0.9544 0.9651  3 As 2.58-2.71, 4 Fe 2.68
3 Mo 0.5000 0.3005 0.2762  3 Fe 2.50-2.78, 4 As 2.71
4 As 0.0000 0.6895 0.4965  2 Fe 2.39, 1 Mo 2.58

Output
DFT formation energy: 75 meV per atom
Space group: Amm2

Density functional theory data (GGA-PBE) for a geometry-optimized CsScH structure.

a b c (Å): 3.5004 3.7790 14.0404
angles (deg): 90.00 90.00 117.59
Closest atoms and distances in Å follow each position.
Sites, in units of the cell vectors:
1 Sc 0.0605 0.1211 0.0995  2 H 2.24
2 Sc 0.0605 0.1211 0.9005  2 H 2.24
3 Cs 0.7686 0.5372 0.6404  3 H 2.90-2.91
4 Cs 0.7686 0.5372 0.3596  3 H 2.90-2.91
5 H 0.4517 0.9034 0.5000  6 Cs 2.90-2.91
6 H 0.5566 0.1133 0.0000  4 Sc 2.24

Output
Electronic total energy: -3.191 eV per atom
Space group: Amm2

Density functional theory data (GGA-PBE) for a geometry-optimized HgSb2TeSe structure.

a b c (Å): 5.5894 5.5894 5.4861
angles (deg): 90.00 90.00 90.00
Closest atoms and distances in Å follow each position.
Sites, in units of the cell vectors:
1 Sb 0.5000 0.0000 0.0000  2 Hg 2.79
2 Sb 0.0000 0.5000 0.0000  2 Hg 2.79
3 Hg 0.0000 0.0000 0.0000  2 Te 2.74, 4 Sb 2.79
4 Te 0.0000 0.0000 0.5000  2 Hg 2.74
5 Se 0.5000 0.5000 0.5000  8 Sb 3.92, 4 Te 3.95

Output
E_form (uncorrected): 905 meV per atom
E above lowest polymorph: 333 meV/atom
Space group: P4/mmm

Density functional theory data (GGA-PBE) for a geometry-optimized EuCdSnPb structure.

a b c (Å): 5.5117 5.5117 5.5117
angles (deg): 60.00 60.00 60.00
Closest atoms and distances in Å follow each position.
Sites, in units of the cell vectors:
1 Eu 0.5000 0.5000 0.5000  4 Sn 3.38, 4 Cd 3.38
2 Pb 0.0000 0.0000 0.0000  4 Cd 3.38, 4 Sn 3.38
3 Sn 0.2500 0.2500 0.2500  4 Pb 3.38, 4 Eu 3.38
4 Cd 0.7500 0.7500 0.7500  4 Pb 3.38, 4 Eu 3.38

Output
DFT formation energy: -284 meV per atom
Space group: F-43m

Density functional theory data (GGA-PBE) for a geometry-optimized CoCu2Os structure.

a b c (Å): 8.5066 8.5066 8.5066
angles (deg): 17.83 17.83 17.83
Closest atoms and distances in Å follow each position.
Sites, in units of the cell vectors:
1 Cu 0.2524 0.2524 0.2524  9 Cu 2.56-2.64, 3 Os 2.70
2 Cu 0.0009 0.0009 0.0009  9 Cu 2.56-2.64, 3 Co 2.56
3 Co 0.7496 0.7496 0.7496  3 Os 2.54, 3 Cu 2.56, 6 Co 2.64
4 Os 0.4971 0.4971 0.4971  3 Co 2.54, 6 Os 2.64, 3 Cu 2.70

Output
E above lowest polymorph: 4 meV/atom
DFT formation energy: 178 meV per atom
Space group: R3m

Density functional theory data (GGA-PBE) for a geometry-optimized In2SnB structure.

a b c (Å): 5.0467 5.0467 5.0467
angles (deg): 60.00 60.00 60.00
Closest atoms and distances in Å follow each position.
Sites, in units of the cell vectors:
1 In 0.7500 0.7500 0.7500  4 B 3.09, 4 Sn 3.09
2 In 0.2500 0.2500 0.2500  4 Sn 3.09, 4 B 3.09
3 B 0.0000 0.0000 0.0000  8 In 3.09
4 Sn 0.5000 0.5000 0.5000  8 In 3.09

Output
E above lowest polymorph: 316 meV/atom
DFT formation energy: 927 meV per atom
Space group: Fm-3m

Density functional theory data (GGA-PBE) for a geometry-optimized PdRh3W structure.

a b c (Å): 4.6599 4.6599 4.6599
angles (deg): 90.00 90.00 90.00
Closest atoms and distances in Å follow each position.
Sites, in units of the cell vectors:
1 Rh 0.0000 0.5000 0.0000  2 W 2.33
2 Rh 0.5000 0.0000 0.0000  2 W 2.33
3 Rh 0.0000 0.0000 0.5000  2 W 2.33
4 W 0.0000 0.0000 0.0000  6 Rh 2.33
5 Pd 0.5000 0.5000 0.5000  12 Rh 3.30

Output
E above lowest polymorph: 1281 meV/atom
DFT formation energy: 1182 meV per atom
Space group: Pm-3m

Density functional theory data (GGA-PBE) for a geometry-optimized Tb3ZnPd structure.

a b c (Å): 5.0078 5.0021 10.0969
angles (deg): 90.00 75.64 90.00
Closest atoms and distances in Å follow each position.
Sites, in units of the cell vectors:
1 Tb 0.8927 0.7500 0.8628  2 Zn 3.04, 2 Pd 3.12
2 Tb 0.0747 0.7500 0.4989  4 Pd 3.01-3.02, 4 Zn 3.09-3.11
3 Tb 0.3905 0.2500 0.8674  2 Zn 3.06, 2 Pd 3.15
4 Tb 0.7556 0.2500 0.1372  2 Zn 3.04, 2 Pd 3.12
5 Tb 0.5736 0.2500 0.5011  4 Pd 3.01-3.02, 4 Zn 3.09-3.11
6 Tb 0.2579 0.7500 0.1326  2 Zn 3.06, 2 Pd 3.15
7 Zn 0.4807 0.7500 0.6869  8 Tb 3.04-3.11
8 Zn 0.1676 0.2500 0.3131  8 Tb 3.04-3.11
9 Pd 0.9880 0.2500 0.6725  8 Tb 3.01-3.15
10 Pd 0.6604 0.7500 0.3275  8 Tb 3.01-3.15

Output
E above lowest polymorph: 0 meV/atom
DFT formation energy: -464 meV per atom
Space group: Cmcm

Density functional theory data (GGA-PBE) for a geometry-optimized CaAgO2 structure.

a b c (Å): 4.9093 4.9093 6.6544
angles (deg): 68.35 68.35 90.00
Closest atoms and distances in Å follow each position.
Sites, in units of the cell vectors:
1 O 0.1172 0.6250 0.2500  2 Ag 2.22, 2 Ca 2.26
2 O 0.6328 0.1250 0.2500  2 Ag 2.22, 2 Ca 2.26
3 O 0.3750 0.3672 0.7500  2 Ag 2.22, 2 Ca 2.26
4 O 0.8750 0.8828 0.7500  2 Ag 2.22, 2 Ca 2.26
5 Ag 0.7500 0.2500 0.5000  4 O 2.22
6 Ag 0.0000 0.0000 0.0000  4 O 2.22
7 Ca 0.2500 0.7500 0.5000  4 O 2.26
8 Ca 0.5000 0.5000 0.0000  4 O 2.26

Output
E_form (uncorrected): -1270 meV per atom
Space group: I-42d

Density functional theory data (GGA-PBE) for a geometry-optimized Pm6Hg3C structure.

a b c (Å): 5.3054 10.1675 10.5067
angles (deg): 104.30 90.00 90.00
Closest atoms and distances in Å follow each position.
Sites, in units of the cell vectors:
1 Pm 0.2500 0.0991 0.7641  1 C 2.50
2 Pm 0.7500 0.9573 0.9197  1 Hg 3.08, 2 Pm 3.15
3 Pm 0.2500 0.7022 0.3810  1 C 2.45
4 Pm 0.2500 0.0427 0.0803  1 Hg 3.08, 2 Pm 3.15
5 Pm 0.2500 0.7365 0.7176  1 C 2.52
6 Pm 0.7500 0.9009 0.2359  1 C 2.50
7 Pm 0.7500 0.5934 0.9253  6 Hg 3.18-3.37
8 Pm 0.7500 0.9193 0.5713  3 C 2.65-2.66
9 Pm 0.2500 0.0807 0.4287  3 C 2.65-2.66
10 Pm 0.7500 0.2978 0.6190  1 C 2.45
11 Pm 0.7500 0.2635 0.2824  1 C 2.52
12 Pm 0.2500 0.4066 0.0747  6 Hg 3.18-3.37
13 C 0.7500 0.1014 0.4293  6 Pm 2.45-2.66
14 C 0.2500 0.8986 0.5707  6 Pm 2.45-2.66
15 Hg 0.7500 0.5728 0.2222  7 Pm 3.18-3.36, 1 Hg 3.38
16 Hg 0.7500 0.2627 0.9293  7 Pm 3.08-3.38
17 Hg 0.2500 0.7373 0.0707  7 Pm 3.08-3.38
18 Hg 0.7500 0.5951 0.5486  6 Pm 3.25-3.50, 3 Hg 3.29-3.38
19 Hg 0.2500 0.4049 0.4514  6 Pm 3.25-3.50, 3 Hg 3.29-3.38
20 Hg 0.2500 0.4272 0.7778  7 Pm 3.18-3.36, 1 Hg 3.38

Output
DFT formation energy: -264 meV per atom
Space group: P2_1/m